Record 1
Entry from Alexandria: a relaxed Na2In6Au crystal (PBE).

Cell: 11.721 6.767 6.092 Å, 90.00 90.10 90.00°
Space group C2/m (No. 12)
One atom of each set of equivalent atoms:
Na1 0.167 0.000 0.329
In1 0.089 0.233 0.815
In2 0.178 0.500 0.187
Au1 0.000 0.500 0.500

ΔH_f (0 K) (eV/atom): -0.127
VASP energy (eV/f.u.): -23.49
Total magnetization (μB/f.u.): 0.00

---

Record 2
Entry from Alexandria: a relaxed TcNiAu2 crystal (PBE).

Cell: 2.749 3.925 5.704 Å, 90.00 90.00 90.00°
Space group Pmmm (No. 47)
One atom of each set of equivalent atoms:
Tc1 0.000 0.000 0.000
Ni1 0.000 0.000 0.500
Au1 0.500 0.500 0.255

ΔH_f (0 K) (eV/atom): 0.347
VASP energy (eV/f.u.): -21.32
Total magnetization (μB/f.u.): 0.00
Relative energy among the computed polymorphs (eV/atom): 0.221

---

Record 3
Entry from Alexandria: a relaxed Rb3H2I3 crystal (PBE).

Cell: 4.659 13.471 19.260 Å, 90.00 90.00 90.00°
Space group Cmcm (No. 63)
One atom of each set of equivalent atoms:
Rb1 0.000 0.100 0.093
Rb2 0.000 0.356 0.250
H1 0.000 0.110 0.645
I1 0.000 0.365 0.750
I2 0.000 0.375 0.065

VASP energy (eV/f.u.): -18.68
Total magnetization (μB/f.u.): 2.00
Relative energy among the computed polymorphs (eV/atom): 0.524

---

Record 4
Entry from Alexandria: a relaxed HfCuPt2 crystal (PBE).

Cell: 4.604 5.624 4.895 Å, 90.00 90.00 90.00°
Space group Pmmn (No. 59, origin choice 2)
One atom of each set of equivalent atoms:
Hf1 0.250 0.250 0.162
Cu1 0.250 0.750 0.187
Pt1 0.250 0.001 0.680

ΔH_f (0 K) (eV/atom): -0.893
VASP energy (eV/f.u.): -29.70
Total magnetization (μB/f.u.): 0.00

---

Record 5
Entry from Alexandria: a relaxed Pr4Nd5Y crystal (PBE).

Cell: 26.342 3.691 7.365 Å, 90.00 98.15 90.00°
Space group C2/m (No. 12)
One atom of each set of equivalent atoms:
Pr1 0.099 0.000 0.299
Pr2 0.199 0.500 0.099
Nd1 0.000 0.500 0.500
Nd2 0.099 0.000 0.800
Nd3 0.200 0.500 0.600
Y1 0.000 0.500 0.000

ΔH_f (0 K) (eV/atom): 0.012
VASP energy (eV/f.u.): -49.30
Total magnetization (μB/f.u.): 0.00
Relative energy among the computed polymorphs (eV/atom): 0.000

---

Record 6
Entry from Alexandria: a relaxed Dy6Cd3Co crystal (PBE).

Cell: 9.067 5.282 11.340 Å, 90.00 108.86 90.00°
Space group P2_1/m (No. 11)
One atom of each set of equivalent atoms:
Dy1 0.033 0.250 0.416
Dy2 0.196 0.750 0.163
Dy3 0.284 0.250 0.003
Dy4 0.349 0.750 0.837
Dy5 0.379 0.250 0.352
Dy6 0.390 0.250 0.657
Cd1 0.004 0.750 0.870
Cd2 0.078 0.250 0.721
Cd3 0.269 0.750 0.475
Co1 0.462 0.750 0.093

ΔH_f (0 K) (eV/atom): -0.191
VASP energy (eV/f.u.): -39.37
Total magnetization (μB/f.u.): 0.05
Relative energy among the computed polymorphs (eV/atom): 0.000

---

Record 7
Entry from Alexandria: a relaxed MgIrPb2 crystal (PBE).

Cell: 3.201 4.507 13.762 Å, 90.00 90.00 90.00°
Space group Immm (No. 71)
One atom of each set of equivalent atoms:
Mg1 0.000 0.000 0.000
Ir1 0.000 0.000 0.500
Pb1 0.000 0.500 0.173

ΔH_f (0 K) (eV/atom): -0.001
VASP energy (eV/f.u.): -17.88
Total magnetization (μB/f.u.): 0.00

---

Record 8
Entry from Alexandria: a relaxed KAg2Mo crystal (PBE).

Cell: 2.9410 2.9410 32.2923 Å, 90.00 90.00 120.00°
Space group R-3m (No. 166, hexagonal axes)
One atom of each set of equivalent atoms:
K1 0.0000 0.0000 0.0000
Ag1 0.0000 0.0000 0.2409
Mo1 0.0000 0.0000 0.5000

ΔH_f (0 K) (eV/atom): 0.722
VASP energy (eV/f.u.): -14.74
Total magnetization (μB/f.u.): 0.61
Relative energy among the computed polymorphs (eV/atom): 0.108

---

Record 9
Entry from Alexandria: a relaxed Mg2GaPd2 crystal (PBE).

Cell: 6.669 6.669 3.946 Å, 90.00 90.00 90.00°
Space group P4/mbm (No. 127)
One atom of each set of equivalent atoms:
Mg1 0.158 0.342 0.000
Ga1 0.000 0.000 0.500
Pd1 0.149 0.649 0.500

ΔH_f (0 K) (eV/atom): -0.600
VASP energy (eV/f.u.): -19.60
Total magnetization (μB/f.u.): 0.00

---

Record 10
Entry from Alexandria: a relaxed Ho3SnP2Rh9 crystal (PBE).

Cell: 6.0545 6.0545 9.2826 Å, 90.00 90.00 120.00°
Space group P-3m1 (No. 164)
One atom of each set of equivalent atoms:
Ho1 0.0000 0.0000 0.0000
Ho2 0.3333 0.6667 0.7316
Sn1 0.0000 0.0000 0.5000
P1 0.3333 0.6667 0.1596
Rh1 0.0000 0.5000 0.0000
Rh2 0.1494 0.2988 0.2665

ΔH_f (0 K) (eV/atom): -0.663
VASP energy (eV/f.u.): -104.66
Total magnetization (μB/f.u.): 0.00

---

Record 11
Entry from Alexandria: a relaxed KPrS2 crystal (PBE).

Cell: 4.2025 4.2025 22.7836 Å, 90.00 90.00 120.00°
Space group R3m (No. 160, hexagonal axes)
One atom of each set of equivalent atoms:
K1 0.0000 0.0000 0.0000
Pr1 0.0000 0.0000 0.1702
S1 0.0000 0.0000 0.5724
S2 0.0000 0.0000 0.7680

Formation energy (no corrections) (eV per atom): -1.809
VASP energy (eV/f.u.): -21.37
Total magnetization (μB/f.u.): 0.00

---

Record 12
Entry from Alexandria: a relaxed Cs8H2Br crystal (PBE).

Cell: 15.505 13.442 8.337 Å, 90.00 91.64 90.00°
Space group C2/m (No. 12)
One atom of each set of equivalent atoms:
Cs1 0.116 0.183 0.265
Cs2 0.117 0.500 0.761
Cs3 0.185 0.000 0.786
H1 0.197 0.000 0.138
Br1 0.000 0.000 0.500

VASP energy (eV/f.u.): -18.85
Total magnetization (μB/f.u.): 0.00

---

Record 13
Entry from Alexandria: a relaxed Zr2GeS crystal (PBE).

Cell: 3.7839 3.7839 18.6745 Å, 90.00 90.00 120.00°
Space group R-3m (No. 166, hexagonal axes)
One atom of each set of equivalent atoms:
Zr1 0.0000 0.0000 0.2430
Ge1 0.0000 0.0000 0.0000
S1 0.0000 0.0000 0.5000

Formation energy (no corrections) (eV per atom): -1.066
VASP energy (eV/f.u.): -30.10
Total magnetization (μB/f.u.): 0.00
Relative energy among the computed polymorphs (eV/atom): 0.000

---

Record 14
Entry from Alexandria: a relaxed DyMg6Ag2 crystal (PBE).

Cell: 4.274 4.274 11.119 Å, 90.00 90.00 90.00°
Space group P4/mmm (No. 123)
One atom of each set of equivalent atoms:
Dy1 0.000 0.000 0.000
Mg1 0.000 0.000 0.500
Mg2 0.000 0.500 0.282
Mg3 0.500 0.500 0.500
Ag1 0.500 0.500 0.121

ΔH_f (0 K) (eV/atom): -0.105
VASP energy (eV/f.u.): -20.82
Total magnetization (μB/f.u.): 0.00
Relative energy among the computed polymorphs (eV/atom): 0.000

---

Record 15
Entry from Alexandria: a relaxed Cd2PbW crystal (PBE).

Cell: 7.039 7.039 7.039 Å, 90.00 90.00 90.00°
Space group F-43m (No. 216)
One atom of each set of equivalent atoms:
Cd1 0.000 0.000 0.000
Cd2 0.250 0.250 0.250
Pb1 0.000 0.000 0.500
W1 0.250 0.250 0.750

ΔH_f (0 K) (eV/atom): 0.988
VASP energy (eV/f.u.): -14.54
Total magnetization (μB/f.u.): 1.53

---

Record 16
Entry from Alexandria: a relaxed ZrNi2Os crystal (PBE).

Cell: 6.183 6.183 6.183 Å, 90.00 90.00 90.00°
Space group F-43m (No. 216)
One atom of each set of equivalent atoms:
Zr1 0.000 0.000 0.000
Ni1 0.000 0.000 0.500
Ni2 0.250 0.250 0.250
Os1 0.250 0.250 0.750

ΔH_f (0 K) (eV/atom): 0.021
VASP energy (eV/f.u.): -31.26
Total magnetization (μB/f.u.): 1.79

---

Record 17
Entry from Alexandria: a relaxed LaBeRu crystal (PBE).

Cell: 6.318 6.318 6.318 Å, 90.00 90.00 90.00°
Space group F-43m (No. 216)
One atom of each set of equivalent atoms:
La1 0.000 0.000 0.000
Be1 0.000 0.000 0.500
Ru1 0.250 0.250 0.250

ΔH_f (0 K) (eV/atom): 0.265
VASP energy (eV/f.u.): -17.14
Total magnetization (μB/f.u.): 0.00
Relative energy among the computed polymorphs (eV/atom): 0.547

---

Record 18
Entry from Alexandria: a relaxed CaLu3H crystal (PBE).

Cell: 4.962 4.962 4.962 Å, 90.00 90.00 90.00°
Space group Pm-3m (No. 221)
One atom of each set of equivalent atoms:
Ca1 0.000 0.000 0.000
Lu1 0.000 0.500 0.500
H1 0.500 0.500 0.500

VASP energy (eV/f.u.): -19.00
Total magnetization (μB/f.u.): 0.00

---

Record 19
Entry from Alexandria: a relaxed PmThN crystal (PBE).

Cell: 3.387 3.387 13.551 Å, 90.00 90.00 90.00°
Space group I4mm (No. 107)
One atom of each set of equivalent atoms:
Pm1 0.000 0.000 0.000
Th1 0.000 0.000 0.719
N1 0.000 0.000 0.175

Formation energy (no corrections) (eV per atom): -0.717
VASP energy (eV/f.u.): -22.65
Total magnetization (μB/f.u.): 0.00
Relative energy among the computed polymorphs (eV/atom): 0.141

---

Record 20
Entry from Alexandria: a relaxed Sm3GeBi2 crystal (PBE).

Cell: 13.320 7.444 7.791 Å, 90.00 90.00 90.00°
Space group Cmcm (No. 63)
One atom of each set of equivalent atoms:
Sm1 0.000 0.000 0.000
Sm2 0.149 0.500 0.000
Ge1 0.000 0.320 0.250
Bi1 0.175 0.154 0.750

ΔH_f (0 K) (eV/atom): -0.709
VASP energy (eV/f.u.): -30.79
Total magnetization (μB/f.u.): 0.00